[1]
NaTlOsF6: optimized geometry, PBE.

Structure (CIF):
```
data_NaTlOsF6
_chemical_formula_sum 'Na1 Tl1 Os1 F6'
_space_group_name_H-M_alt 'P 3 1 2'
_space_group_IT_number 149
_cell_length_a 5.8663
_cell_length_b 5.8663
_cell_length_c 5.7240
_cell_angle_alpha 90.00
_cell_angle_beta 90.00
_cell_angle_gamma 120.00
loop_
_space_group_symop_operation_xyz
'x,y,z'
'-y,x-y,z'
'-x+y,-x,z'
'-y,-x,-z'
'-x+y,y,-z'
'x,x-y,-z'
loop_
_atom_site_label
_atom_site_type_symbol
_atom_site_fract_x
_atom_site_fract_y
_atom_site_fract_z
_atom_site_occupancy
Na1 Na 0.0000 0.0000 0.0000 1
Tl1 Tl 0.6667 0.3333 0.5000 1
Os1 Os 0.3333 0.6667 0.0000 1
F1 F 0.0602 0.3812 0.1937 1
```

Output
As for the calculated volume: 18.95 Å³/atom. The crystal system is trigonal.

[2]
NaY2OsF: optimized geometry, PBE.

Structure (CIF):
```
data_NaY2OsF
_chemical_formula_sum 'Na1 Y2 Os1 F1'
_space_group_name_H-M_alt 'P 4/m m m'
_space_group_IT_number 123
_space_group_name_Hall '-P 4 2'
_cell_length_a 4.9354
_cell_length_b 4.9354
_cell_length_c 4.3391
_cell_angle_alpha 90.00
_cell_angle_beta 90.00
_cell_angle_gamma 90.00
loop_
_atom_site_label
_atom_site_type_symbol
_atom_site_fract_x
_atom_site_fract_y
_atom_site_fract_z
_atom_site_occupancy
Na1 Na 0.0000 0.0000 0.0000 1
Y1 Y 0.0000 0.5000 0.5000 1
Os1 Os 0.5000 0.5000 0.0000 1
F1 F 0.5000 0.5000 0.5000 1
```

Output
As for the calculated volume: 21.14 Å³/atom. The crystal system is tetragonal.

Number 1: magnetization 2.0 μB/f.u., formation energy (no corrections) -1993.3 meV/atom. Number 2: magnetization 0.0 μB/f.u., formation energy (no corrections) -147.9 meV/atom.